! LiSmScNi PBE optimized geometry; values from VASP
! symmetry = F-43m
! magnetic moment = 0.00 μB per formula unit
! energy of formation from the pure elements = -10.4 kJ/mol of atoms
&SYSTEM
  ibrav = 0, nat = 4, ntyp = 4
/
ATOMIC_SPECIES
Li 6.94 Li.upf
Sm 150.36 Sm.upf
Sc 44.96 Sc.upf
Ni 58.69 Ni.upf
ATOMIC_POSITIONS crystal
Li 0.0000 0.0000 0.0000
Sm 0.2500 0.2500 0.2500
Sc 0.7500 0.7500 0.7500
Ni 0.5000 0.5000 0.5000
CELL_PARAMETERS angstrom
0.0000 3.4149 3.4149
3.4149 0.0000 3.4149
3.4149 3.4149 0.0000